[1]
{"formula": "MnCuPt3", "functional": "PBE", "state": "relaxed", "spacegroup": "No. 221", "delta_e_f_ev_per_fu": 4.1, "de_polymorph_ev_per_atom": 1.103, "lattice_angstrom": [[-0.527, -4.318, -1.379], [1.734, -1.475, 3.955], [-4.188, -0.067, 1.811]], "species": ["Mn", "Cu", "Pt", "Pt", "Pt"], "fractional_positions": [[0.500, 0.500, 0.500], [0.000, 0.000, 0.000], [0.000, 0.500, 0.000], [0.000, 0.000, 0.500], [0.500, 0.000, 0.000]]}



[2]
{"formula": "Mn2CuPt", "functional": "PBE", "state": "relaxed", "spacegroup": "No. 8", "delta_e_f_ev_per_fu": -0.2, "lattice_angstrom": [[-1.367, -2.218, -3.976], [1.235, -3.182, -3.308], [-1.824, -3.786, 1.641]], "species": ["Cu", "Mn", "Mn", "Pt"], "fractional_positions": [[0.751, 0.751, 0.771], [0.006, 0.006, 0.974], [0.246, 0.246, 0.271], [0.497, 0.497, 0.484]]}



[3]
{"formula": "Mn2CuPt", "functional": "PBE", "state": "relaxed", "spacegroup": "No. 123", "delta_e_f_ev_per_fu": -0.4, "lattice_angstrom": [[-0.668, -2.142, 2.617], [-0.495, -3.070, -2.639], [3.970, -0.887, 0.288]], "species": ["Mn", "Mn", "Cu", "Pt"], "fractional_positions": [[0.000, 0.000, 0.000], [0.000, 0.500, 0.500], [0.500, 0.000, 0.500], [0.500, 0.500, 0.000]]}



[4]
{"formula": "MnCu5Pt6", "functional": "PBE", "state": "relaxed", "spacegroup": "No. 10", "delta_e_f_ev_per_fu": -2.5, "lattice_angstrom": [[7.146, 0.684, -0.605], [2.512, 3.775, -0.606], [0.755, 1.131, 6.494]], "species": ["Mn", "Cu", "Cu", "Cu", "Cu", "Cu", "Pt", "Pt", "Pt", "Pt", "Pt", "Pt"], "fractional_positions": [[0.000, 0.000, 0.000], [0.500, 0.164, 0.667], [0.000, 0.338, 0.336], [0.500, 0.500, 0.000], [0.000, 0.662, 0.664], [0.500, 0.836, 0.333], [0.749, 0.087, 0.333], [0.250, 0.586, 0.332], [0.251, 0.249, 0.000], [0.749, 0.751, 0.000], [0.750, 0.414, 0.668], [0.251, 0.913, 0.667]]}



[5]
{"formula": "MnCuPt2", "functional": "PBE", "state": "relaxed", "spacegroup": "No. 71", "delta_e_f_ev_per_fu": 0.8, "lattice_angstrom": [[4.732, -1.554, -2.917], [-1.396, 4.781, 2.917], [-3.324, 0.098, 4.717]], "species": ["Mn", "Cu", "Pt", "Pt"], "fractional_positions": [[0.000, 0.000, 0.000], [0.000, 0.500, 0.500], [0.000, 0.249, 0.249], [0.000, 0.751, 0.751]]}



[6]
{"formula": "MnCu5Pt6", "functional": "PBE", "state": "relaxed", "spacegroup": "No. 65", "delta_e_f_ev_per_fu": -2.5, "lattice_angstrom": [[-1.790, -2.092, 2.804], [-2.275, -4.784, -5.021], [4.000, -4.191, 2.181]], "species": ["Mn", "Pt", "Pt", "Pt", "Pt", "Pt", "Pt", "Cu", "Cu", "Cu", "Cu", "Cu"], "fractional_positions": [[0.000, 0.000, 0.000], [0.833, 0.748, 0.334], [0.833, 0.252, 0.334], [0.500, 0.247, 0.000], [0.500, 0.753, 0.000], [0.167, 0.748, 0.666], [0.167, 0.252, 0.666], [0.664, 0.500, 0.672], [0.331, 0.000, 0.338], [0.000, 0.500, 0.000], [0.669, 0.000, 0.662], [0.336, 0.500, 0.328]]}



[7]
{"formula": "MnCuPt3", "functional": "PBE", "state": "relaxed", "spacegroup": "No. 63", "delta_e_f_ev_per_fu": -1.4, "de_polymorph_ev_per_atom": 0.000, "lattice_angstrom": [[0.048, -2.019, 3.375], [3.697, -1.065, -0.690], [3.100, 6.705, 6.259]], "species": ["Mn", "Mn", "Cu", "Cu", "Pt", "Pt", "Pt", "Pt", "Pt", "Pt"], "fractional_positions": [[0.477, 0.750, 0.695], [0.172, 0.250, 0.305], [0.673, 0.750, 0.303], [0.975, 0.250, 0.697], [0.770, 0.250, 0.109], [0.380, 0.250, 0.889], [0.575, 0.250, 0.499], [0.268, 0.750, 0.111], [0.879, 0.750, 0.891], [0.074, 0.750, 0.501]]}



[8]
{"formula": "Mn3CuPt12", "functional": "PBE", "state": "relaxed", "spacegroup": "No. 123", "delta_e_f_ev_per_fu": -4.8, "lattice_angstrom": [[3.923, 0.000, 0.000], [0.000, 3.923, 0.000], [0.000, 0.000, 15.720]], "species": ["Mn", "Mn", "Mn", "Cu", "Pt", "Pt", "Pt", "Pt", "Pt", "Pt", "Pt", "Pt", "Pt", "Pt", "Pt", "Pt"], "fractional_positions": [[0.000, 0.000, 0.248], [0.000, 0.000, 0.500], [0.000, 0.000, 0.752], [0.000, 0.000, 0.000], [0.500, 0.500, 0.000], [0.500, 0.500, 0.249], [0.500, 0.500, 0.500], [0.500, 0.500, 0.751], [0.500, 0.000, 0.124], [0.500, 0.000, 0.374], [0.500, 0.000, 0.626], [0.500, 0.000, 0.876], [0.000, 0.500, 0.124], [0.000, 0.500, 0.374], [0.000, 0.500, 0.626], [0.000, 0.500, 0.876]]}



[9]
{"formula": "Mn2CuPt", "functional": "PBE", "state": "relaxed", "spacegroup": "No. 25", "delta_e_f_ev_per_fu": 0.0, "lattice_angstrom": [[2.806, 0.000, 0.000], [0.000, 3.785, 0.000], [0.000, 0.000, 5.397]], "species": ["Cu", "Mn", "Mn", "Pt"], "fractional_positions": [[0.500, 0.500, 0.763], [0.000, 0.000, 0.982], [0.500, 0.500, 0.264], [0.000, 0.000, 0.491]]}



[10]
{"formula": "MnCuPt", "functional": "PBE", "state": "relaxed", "spacegroup": "No. 216", "delta_e_f_ev_per_fu": 0.4, "de_polymorph_ev_per_atom": 0.347, "lattice_angstrom": [[-2.669, -1.195, -2.877], [-1.609, -3.771, 0.134], [-3.956, -0.509, 0.957]], "species": ["Cu", "Mn", "Pt"], "fractional_positions": [[0.750, 0.750, 0.750], [0.000, 0.000, 0.000], [0.500, 0.500, 0.500]]}



[11]
{"formula": "Mn2CuPt", "functional": "PBE", "state": "relaxed", "spacegroup": "No. 65", "delta_e_f_ev_per_fu": -0.4, "lattice_angstrom": [[6.505, -0.015, -0.043], [-2.590, 3.630, 0.125], [1.324, 0.858, 2.447]], "species": ["Mn", "Mn", "Cu", "Pt"], "fractional_positions": [[0.000, 0.000, 0.000], [0.500, 0.000, 0.500], [0.500, 0.500, 0.000], [0.000, 0.500, 0.500]]}



[12]
{"formula": "MnCu3Pt", "functional": "PBE", "state": "relaxed", "spacegroup": "No. 11", "delta_e_f_ev_per_fu": -0.4, "de_polymorph_ev_per_atom": 0.000, "lattice_angstrom": [[-3.842, -2.096, -0.289], [-0.255, -0.495, 6.990], [-2.134, 3.672, 1.733]], "species": ["Mn", "Mn", "Cu", "Cu", "Cu", "Cu", "Cu", "Cu", "Pt", "Pt"], "fractional_positions": [[0.800, 0.390, 0.956], [0.300, 0.610, 0.044], [0.800, 0.798, 0.773], [0.800, 0.601, 0.360], [0.300, 0.399, 0.640], [0.300, 0.202, 0.227], [0.800, 0.988, 0.165], [0.300, 0.012, 0.835], [0.800, 0.201, 0.554], [0.300, 0.799, 0.446]]}



[13]
{"formula": "Mn4CuPt5", "functional": "PBE", "state": "relaxed", "spacegroup": "No. 123", "delta_e_f_ev_per_fu": -3.1, "lattice_angstrom": [[2.888, 0.000, 0.000], [0.000, 2.888, 0.000], [0.000, 0.000, 17.813]], "species": ["Mn", "Mn", "Mn", "Mn", "Cu", "Pt", "Pt", "Pt", "Pt", "Pt"], "fractional_positions": [[0.000, 0.000, 0.196], [0.000, 0.000, 0.399], [0.000, 0.000, 0.601], [0.000, 0.000, 0.804], [0.000, 0.000, 0.000], [0.500, 0.500, 0.097], [0.500, 0.500, 0.298], [0.500, 0.500, 0.500], [0.500, 0.500, 0.702], [0.500, 0.500, 0.903]]}



[14]
{"formula": "Mn2CuPt", "functional": "PBE", "state": "relaxed", "spacegroup": "No. 12", "delta_e_f_ev_per_fu": 0.1, "lattice_angstrom": [[-4.232, -1.058, 1.401], [-3.175, -3.302, 0.074], [0.915, -2.038, 4.174]], "species": ["Cu", "Mn", "Mn", "Pt"], "fractional_positions": [[0.750, 0.750, 0.750], [0.003, 0.003, 0.995], [0.497, 0.497, 0.505], [0.250, 0.250, 0.250]]}



[15]
{"formula": "MnCuPt4", "functional": "PBE", "state": "relaxed", "spacegroup": "No. 11", "delta_e_f_ev_per_fu": -1.5, "de_polymorph_ev_per_atom": 0.000, "lattice_angstrom": [[-4.305, 1.961, -0.178], [-1.039, -2.714, -4.789], [-2.327, -5.262, 3.487]], "species": ["Mn", "Mn", "Cu", "Cu", "Pt", "Pt", "Pt", "Pt", "Pt", "Pt", "Pt", "Pt"], "fractional_positions": [[0.175, 0.750, 0.334], [0.825, 0.250, 0.666], [0.828, 0.750, 0.665], [0.172, 0.250, 0.335], [0.320, 0.501, 0.659], [0.680, 0.001, 0.341], [0.320, 0.999, 0.659], [0.680, 0.499, 0.341], [0.000, 0.500, 0.000], [0.000, 0.000, 0.000], [0.500, 0.750, 0.999], [0.500, 0.250, 0.001]]}



[16]
{"formula": "Mn2CuPt", "functional": "PBE", "state": "relaxed", "spacegroup": "No. 160", "delta_e_f_ev_per_fu": 0.0, "lattice_angstrom": [[8.651, -0.032, -0.019], [8.240, 2.635, -0.019], [8.240, 1.270, 2.309]], "species": ["Cu", "Mn", "Mn", "Pt"], "fractional_positions": [[0.746, 0.746, 0.746], [0.998, 0.998, 0.998], [0.254, 0.254, 0.254], [0.501, 0.501, 0.501]]}



[17]
{"formula": "MnCu3Pt3", "functional": "PBE", "state": "relaxed", "spacegroup": "No. 65", "delta_e_f_ev_per_fu": -0.6, "lattice_angstrom": [[6.026, -0.060, -0.001], [-0.046, 6.026, -0.001], [0.001, 0.001, 5.743]], "species": ["Mn", "Mn", "Cu", "Cu", "Cu", "Cu", "Cu", "Cu", "Pt", "Pt", "Pt", "Pt", "Pt", "Pt"], "fractional_positions": [[0.272, 0.272, 0.000], [0.728, 0.728, 0.000], [0.285, 0.285, 0.500], [0.281, 0.719, 0.500], [0.719, 0.281, 0.500], [0.267, 0.733, 0.000], [0.733, 0.267, 0.000], [0.715, 0.715, 0.500], [0.000, 0.000, 0.744], [0.500, 0.000, 0.253], [0.000, 0.500, 0.253], [0.500, 0.000, 0.747], [0.000, 0.500, 0.747], [0.000, 0.000, 0.256]]}



[18]
{"formula": "MnCu3Pt7", "functional": "PBE", "state": "relaxed", "spacegroup": "No. 12", "delta_e_f_ev_per_fu": 1.2, "lattice_angstrom": [[-0.620, -4.172, -2.697], [6.183, 2.782, 0.250], [0.721, -0.590, 6.721]], "species": ["Mn", "Cu", "Cu", "Cu", "Pt", "Pt", "Pt", "Pt", "Pt", "Pt", "Pt"], "fractional_positions": [[0.500, 0.500, 0.500], [0.000, 0.775, 0.225], [0.500, 0.000, 0.000], [0.000, 0.225, 0.775], [0.341, 0.192, 0.192], [0.336, 0.070, 0.585], [0.664, 0.415, 0.930], [0.336, 0.585, 0.070], [0.000, 0.500, 0.500], [0.664, 0.930, 0.415], [0.659, 0.808, 0.808]]}



[19]
{"formula": "Mn2CuPt", "functional": "PBE", "state": "relaxed", "spacegroup": "No. 10", "delta_e_f_ev_per_fu": -0.3, "lattice_angstrom": [[-0.693, -2.242, 2.435], [-0.326, -2.065, -1.995], [5.366, -3.357, -1.564]], "species": ["Cu", "Mn", "Mn", "Pt"], "fractional_positions": [[0.500, 0.750, 0.750], [0.000, 0.008, 0.991], [0.000, 0.492, 0.509], [0.500, 0.250, 0.250]]}



[20]
{"formula": "MnCu3Pt", "functional": "PBE", "state": "relaxed", "spacegroup": "No. 221", "delta_e_f_ev_per_fu": 4.6, "de_polymorph_ev_per_atom": 0.996, "lattice_angstrom": [[4.671, 0.000, 0.000], [0.000, 4.671, 0.000], [0.000, 0.000, 4.671]], "species": ["Mn", "Cu", "Cu", "Cu", "Pt"], "fractional_positions": [[0.500, 0.500, 0.500], [0.000, 0.500, 0.000], [0.000, 0.000, 0.500], [0.500, 0.000, 0.000], [0.000, 0.000, 0.000]]}



[21]
{"formula": "MnCuPt2", "functional": "PBE", "state": "relaxed", "spacegroup": "No. 225", "delta_e_f_ev_per_fu": -1.1, "lattice_angstrom": [[-1.319, -0.917, 4.024], [-2.464, 2.827, 2.170], [-4.170, -0.898, 0.761]], "species": ["Mn", "Cu", "Pt", "Pt"], "fractional_positions": [[0.000, 0.000, 0.000], [0.500, 0.500, 0.500], [0.250, 0.250, 0.250], [0.750, 0.750, 0.750]]}



[22]
{"formula": "MnCu2Pt9", "functional": "PBE", "state": "relaxed", "spacegroup": "No. 123", "delta_e_f_ev_per_fu": -2.3, "lattice_angstrom": [[-0.837, 3.788, 0.532], [-3.794, -0.752, -0.613], [-1.468, -1.935, 11.469]], "species": ["Mn", "Cu", "Cu", "Pt", "Pt", "Pt", "Pt", "Pt", "Pt", "Pt", "Pt", "Pt"], "fractional_positions": [[0.000, 0.000, 0.000], [0.000, 0.000, 0.335], [0.000, 0.000, 0.665], [0.500, 0.500, 0.000], [0.500, 0.500, 0.334], [0.500, 0.500, 0.666], [0.500, 0.000, 0.167], [0.500, 0.000, 0.500], [0.500, 0.000, 0.833], [0.000, 0.500, 0.167], [0.000, 0.500, 0.500], [0.000, 0.500, 0.833]]}



[23]
{"formula": "MnCu6Pt2", "functional": "PBE", "state": "relaxed", "spacegroup": "No. 12", "delta_e_f_ev_per_fu": -0.2, "de_polymorph_ev_per_atom": 0.111, "lattice_angstrom": [[6.645, 0.545, 0.316], [0.595, 4.487, -0.263], [0.595, 2.007, 4.021]], "species": ["Mn", "Cu", "Cu", "Cu", "Cu", "Cu", "Cu", "Pt", "Pt"], "fractional_positions": [[0.000, 0.000, 0.000], [0.309, 0.301, 0.782], [0.499, 0.755, 0.755], [0.309, 0.782, 0.301], [0.691, 0.699, 0.218], [0.501, 0.245, 0.245], [0.691, 0.218, 0.699], [0.914, 0.679, 0.679], [0.086, 0.321, 0.321]]}



[24]
{"formula": "MnCuPt", "functional": "PBE", "state": "relaxed", "spacegroup": "No. 44", "delta_e_f_ev_per_fu": -0.7, "de_polymorph_ev_per_atom": 0.000, "lattice_angstrom": [[-2.775, -1.922, 3.230], [-0.299, -1.327, 4.470], [-1.656, 2.481, 2.119]], "species": ["Mn", "Cu", "Pt"], "fractional_positions": [[0.883, 0.473, 0.918], [0.548, 0.138, 0.252], [0.217, 0.806, 0.584]]}



[25]
{"formula": "MnCuPt4", "functional": "PBE", "state": "relaxed", "spacegroup": "No. 51", "delta_e_f_ev_per_fu": -0.9, "de_polymorph_ev_per_atom": 0.104, "lattice_angstrom": [[-1.457, 2.241, 0.655], [-4.569, -1.268, -5.820], [-5.202, -4.887, 5.148]], "species": ["Mn", "Mn", "Cu", "Cu", "Pt", "Pt", "Pt", "Pt", "Pt", "Pt", "Pt", "Pt"], "fractional_positions": [[0.000, 0.193, 0.250], [0.000, 0.807, 0.750], [0.000, 0.540, 0.250], [0.000, 0.460, 0.750], [0.500, 0.328, 0.018], [0.500, 0.328, 0.482], [0.500, 0.672, 0.982], [0.500, 0.672, 0.518], [0.500, 0.864, 0.250], [0.500, 0.136, 0.750], [0.000, 0.000, 0.000], [0.000, 0.000, 0.500]]}